HoAgTePbSe2 | OQMD via LeMat-Bulk | PBE-GGA | optimized geometry; density = 7.700 g/cm³; space group = No. 63; E_tot = -4.408 eV per atom
1.0
-5.808 4.435 -1.102
2.446 -6.890 1.079
-1.065 1.353 11.051
Ag Ho Pb Se Te
2 2 2 4 2
Cartesian
-1.707 -1.219 2.814
-2.720 0.117 8.213
0.000 0.000 0.000
-0.532 0.676 5.525
-4.283 2.316 2.134
-0.143 -3.418 8.894
-0.626 -2.681 0.903
-1.039 -2.157 5.188
-3.388 1.055 5.839
-3.801 1.580 10.124
1.323 -5.376 3.615
-5.750 4.275 7.412